No. 1
# TcAg2Au | Alexandria via LeMat-Bulk | PBE | optimized geometry
# Energy of formation from the pure elements ... 160 kJ/mol of formula units
# DOS(E_F) ... 0.52 states/eV per atom
data_TcAg2Au
_chemical_formula_sum 'Tc1 Ag2 Au1'
_space_group_name_H-M_alt 'P m m m'
_space_group_IT_number 47
_space_group_name_Hall '-P 2 2'
_cell_length_a 2.752
_cell_length_b 4.974
_cell_length_c 5.045
_cell_angle_alpha 90.00
_cell_angle_beta 90.00
_cell_angle_gamma 90.00
loop_
_atom_site_label
_atom_site_type_symbol
_atom_site_fract_x
_atom_site_fract_y
_atom_site_fract_z
_atom_site_occupancy
Tc1 Tc 0.000 0.000 0.000 1
Ag1 Ag 0.000 0.500 0.500 1
Ag2 Ag 0.500 0.000 0.500 1
Au1 Au 0.500 0.500 0.000 1

---

No. 2
# AcZrTe4 | Alexandria via LeMat-Bulk | PBE | optimized geometry
# ΔE_f (raw) ... -0.928 eV per atom
# DOS(E_F) ... 0.21 states/eV per atom
data_AcZrTe4
_chemical_formula_sum 'Ac4 Zr4 Te16'
_space_group_name_H-M_alt 'C 1 2/m 1'
_space_group_IT_number 12
_space_group_name_Hall '-C 2y'
_cell_length_a 17.624
_cell_length_b 5.720
_cell_length_c 9.779
_cell_angle_alpha 90.00
_cell_angle_beta 93.65
_cell_angle_gamma 90.00
loop_
_atom_site_label
_atom_site_type_symbol
_atom_site_fract_x
_atom_site_fract_y
_atom_site_fract_z
_atom_site_occupancy
Ac1 Ac 0.245 0.000 0.223 1
Zr1 Zr 0.090 0.000 0.641 1
Te1 Te 0.067 0.000 0.335 1
Te2 Te 0.094 0.500 0.591 1
Te3 Te 0.155 0.000 0.916 1
Te4 Te 0.241 0.500 0.393 1

---

No. 3
# HoTmGeRh | Alexandria via LeMat-Bulk | PBE | optimized geometry
# Energy of formation from the pure elements ... -293 kJ/mol of formula units
# DOS(E_F) ... 0.51 states/eV per atom
data_HoTmGeRh
_chemical_formula_sum 'Ho4 Tm4 Ge4 Rh4'
_space_group_name_H-M_alt 'F -4 3 m'
_space_group_IT_number 216
_space_group_name_Hall 'F -4 2 3'
_cell_length_a 6.935
_cell_length_b 6.935
_cell_length_c 6.935
_cell_angle_alpha 90.00
_cell_angle_beta 90.00
_cell_angle_gamma 90.00
loop_
_atom_site_label
_atom_site_type_symbol
_atom_site_fract_x
_atom_site_fract_y
_atom_site_fract_z
_atom_site_occupancy
Ho1 Ho 0.000 0.000 0.000 1
Tm1 Tm 0.000 0.000 0.500 1
Ge1 Ge 0.250 0.250 0.750 1
Rh1 Rh 0.250 0.250 0.250 1

---

No. 4
# Ca2InGa4Au3 | Alexandria via LeMat-Bulk | PBE | optimized geometry
# Energy of formation from the pure elements ... -493 kJ/mol of formula units
# DOS(E_F) ... 0.40 states/eV per atom
data_Ca2InGa4Au3
_chemical_formula_sum 'Ca2 In1 Ga4 Au3'
_space_group_name_H-M_alt 'P -4 m 2'
_space_group_IT_number 115
_space_group_name_Hall 'P -4 -2'
_cell_length_a 4.328
_cell_length_b 4.328
_cell_length_c 11.473
_cell_angle_alpha 90.00
_cell_angle_beta 90.00
_cell_angle_gamma 90.00
loop_
_atom_site_label
_atom_site_type_symbol
_atom_site_fract_x
_atom_site_fract_y
_atom_site_fract_z
_atom_site_occupancy
Ca1 Ca 0.000 0.500 0.242 1
In1 In 0.000 0.000 0.500 1
Ga1 Ga 0.000 0.000 0.000 1
Ga2 Ga 0.000 0.500 0.648 1
Ga3 Ga 0.500 0.500 0.000 1
Au1 Au 0.000 0.500 0.868 1
Au2 Au 0.500 0.500 0.500 1

---

No. 5
# SrI2Br | Alexandria via LeMat-Bulk | PBE | optimized geometry
# ΔE_f (raw) ... -0.979 eV per atom
# DOS(E_F) ... 1.41 states/eV per atom
data_SrI2Br
_chemical_formula_sum 'Sr4 I8 Br4'
_space_group_name_H-M_alt 'F m -3 m'
_space_group_IT_number 225
_space_group_name_Hall '-F 4 2 3'
_cell_length_a 8.293
_cell_length_b 8.293
_cell_length_c 8.293
_cell_angle_alpha 90.00
_cell_angle_beta 90.00
_cell_angle_gamma 90.00
loop_
_atom_site_label
_atom_site_type_symbol
_atom_site_fract_x
_atom_site_fract_y
_atom_site_fract_z
_atom_site_occupancy
Sr1 Sr 0.000 0.000 0.000 1
I1 I 0.250 0.250 0.250 1
Br1 Br 0.000 0.000 0.500 1

---

No. 6
# LaDy2PuP4 | Alexandria via LeMat-Bulk | PBE | optimized geometry
# Energy of formation from the pure elements ... -1125 kJ/mol of formula units
# DOS(E_F) ... 1.57 states/eV per atom
data_LaDy2PuP4
_chemical_formula_sum 'La1 Dy2 Pu1 P4'
_space_group_name_H-M_alt 'P 1 2/m 1'
_space_group_IT_number 10
_space_group_name_Hall '-P 2y'
_cell_length_a 7.041
_cell_length_b 4.078
_cell_length_c 7.053
_cell_angle_alpha 90.00
_cell_angle_beta 109.50
_cell_angle_gamma 90.00
loop_
_atom_site_label
_atom_site_type_symbol
_atom_site_fract_x
_atom_site_fract_y
_atom_site_fract_z
_atom_site_occupancy
La1 La 0.000 0.000 0.000 1
Dy1 Dy 0.500 0.000 0.500 1
Dy2 Dy 0.500 0.500 0.000 1
Pu1 Pu 0.000 0.500 0.500 1
P1 P 0.252 0.000 0.742 1
P2 P 0.258 0.500 0.261 1

---

Which value of DOS(E_F) does entry 5 give? 1.41 states/eV per atom

---

What is the DOS(E_F) in the first record? 0.52 states/eV per atom

---

The highest DOS(E_F) belongs to which entry? LaDy2PuP4

---

Which of these has the highest DOS(E_F)? LaDy2PuP4